[1]
VASP calculation (GGA-PBE) on a relaxed structure of GdDyBeAl.

Calculated formation energy, meV/atom: -116
Uncorrected energy, eV per atom: -6.65

abc: 5.0069 5.0069 5.0069
angles: 60.00 60.00 60.00
Last column: nearest neighbours and their distance in Å.
Fractional positions:
Gd1 0.0000 0.0000 0.0000  4 Be 3.07, 4 Al 3.07
Dy1 0.5000 0.5000 0.5000  4 Be 3.07, 4 Al 3.07
Be1 0.2500 0.2500 0.2500  4 Dy 3.07, 4 Gd 3.07
Al1 0.7500 0.7500 0.7500  4 Gd 3.07, 4 Dy 3.07


[2]
VASP calculation (GGA-PBE) on a relaxed structure of DyHoBeAl.

Calculated formation energy, meV/atom: -132
Uncorrected energy, eV per atom: -4.29

abc: 4.9695 4.9695 4.9695
angles: 60.00 60.00 60.00
Last column: nearest neighbours and their distance in Å.
Fractional positions:
Dy1 0.0000 0.0000 0.0000  4 Al 3.04, 4 Be 3.04
Ho1 0.5000 0.5000 0.5000  4 Al 3.04, 4 Be 3.04
Be1 0.2500 0.2500 0.2500  4 Dy 3.04, 4 Ho 3.04
Al1 0.7500 0.7500 0.7500  4 Dy 3.04, 4 Ho 3.04


[3]
VASP calculation (GGA-PBE) on a relaxed structure of Dy2Be4AlIr3.

Calculated formation energy, meV/atom: -599
Uncorrected energy, eV per atom: -6.04

abc: 3.8354 3.8354 10.1992
angles: 90.00 90.00 90.00
Last column: nearest neighbours and their distance in Å.
Fractional positions:
Dy1 0.0000 0.5000 0.2405  6 Ir 2.95-3.27, 8 Be 2.97-3.11, 2 Al 3.27
Dy2 0.5000 0.0000 0.7595  6 Ir 2.95-3.27, 8 Be 2.97-3.11, 2 Al 3.27
Be1 0.0000 0.0000 0.0000  4 Ir 2.31
Be2 0.0000 0.5000 0.6411  3 Ir 2.37-2.40, 2 Al 2.40
Be3 0.5000 0.0000 0.3589  3 Ir 2.37-2.40, 2 Al 2.40
Be4 0.5000 0.5000 0.0000  4 Ir 2.31
Al1 0.0000 0.0000 0.5000  4 Be 2.40
Ir1 0.0000 0.5000 0.8730  5 Be 2.31-2.37
Ir2 0.5000 0.0000 0.1270  5 Be 2.31-2.37
Ir3 0.5000 0.5000 0.5000  4 Be 2.40


Which value of calculated formation energy does entry 2 give? -132 meV/atom